No. 1
Here is a PBEsol-optimized structure of Zr2AlB from Alexandria. Energies are from SCAN. Values from VASP.

Summary:
As for the magnetic moment: 0.00 μB/atom. The final energy comes out at -153.184 eV for the cell shown. Its formation energy is -0.0033 eV per atom.

Structure (Quantum ESPRESSO input):
```
&SYSTEM
  ibrav = 0, nat = 8, ntyp = 3
/
ATOMIC_SPECIES
Zr 91.22 Zr.upf
Al 26.98 Al.upf
B 10.81 B.upf
CELL_PARAMETERS angstrom
5.686 -0.078 0.000
-2.839 4.927 0.000
-1.424 -2.425 4.943
ATOMIC_POSITIONS crystal
Zr 0.125 0.584 0.958
Al 0.000 0.000 0.000
Zr 0.416 0.375 0.542
Al 0.250 0.750 0.500
B 0.500 0.500 0.000
Zr 0.625 0.166 0.042
B 0.750 0.250 0.500
Zr 0.834 0.875 0.458
```



No. 2
Here is a PBEsol-optimized structure of MgCuPt2 from Alexandria. Energies are from SCAN. Values from VASP.

Summary:
As for the magnetic moment: 0.00 μB/atom. The final energy comes out at -162.976 eV for the cell shown. Its formation energy is -0.6042 eV per atom.

Structure (Quantum ESPRESSO input):
```
&SYSTEM
  ibrav = 0, nat = 4, ntyp = 3
/
ATOMIC_SPECIES
Pt 195.08 Pt.upf
Cu 63.55 Cu.upf
Mg 24.30 Mg.upf
CELL_PARAMETERS angstrom
3.933 0.000 0.000
0.000 3.933 0.000
-1.967 -1.967 3.676
ATOMIC_POSITIONS crystal
Pt 0.250 0.750 0.500
Cu 0.000 0.000 0.000
Mg 0.500 0.500 0.000
Pt 0.750 0.250 0.500
```



No. 3
Here is a PBEsol-optimized structure of AgMo2As from Alexandria. Energies are from SCAN. Values from VASP.

Summary:
As for the magnetic moment: 0.00 μB/atom. The final energy comes out at -119.996 eV for the cell shown. Its formation energy is 0.3331 eV per atom.

Structure (Quantum ESPRESSO input):
```
&SYSTEM
  ibrav = 0, nat = 4, ntyp = 3
/
ATOMIC_SPECIES
Mo 95.94 Mo.upf
Ag 107.87 Ag.upf
As 74.92 As.upf
CELL_PARAMETERS angstrom
-0.013 -1.139 -2.813
3.033 0.085 -0.048
0.213 -6.169 2.497
ATOMIC_POSITIONS crystal
Mo 0.000 0.000 0.281
Ag 0.500 0.500 0.000
Mo 0.000 0.000 0.719
As 0.500 0.500 0.500
```



No. 4
Here is a PBEsol-optimized structure of AgTeCl from Alexandria. Energies are from SCAN. Values from VASP.

Summary:
Its formation energy from raw total energies is 0.0925 eV per atom. As for the magnetic moment: 0.02 μB/atom. The final energy comes out at -76.319 eV for the cell shown.

Structure (Quantum ESPRESSO input):
```
&SYSTEM
  ibrav = 0, nat = 3, ntyp = 3
/
ATOMIC_SPECIES
Cl 35.45 Cl.upf
Te 127.60 Te.upf
Ag 107.87 Ag.upf
CELL_PARAMETERS angstrom
-1.324 0.946 2.951
-0.171 -4.504 1.367
3.833 2.587 0.891
ATOMIC_POSITIONS crystal
Cl 0.728 0.333 0.667
Te 0.268 0.667 0.333
Ag 0.004 0.000 0.000
```



| no. | DOS(E_F) (states/eV per atom) |
| --- | --- |
| 1 | 0.776 |
| 2 | 0.362 |
| 3 | 0.879 |
| 4 | 0.777 |